No. 1
Below is a geometry-optimized NdThPb structure, with properties calculated at the PBE level.

```
12
Lattice="5.618 0.000 0.000 0.000 22.964 0.000 0.000 0.000 3.502" Properties=species:S:1:pos:R:3 pbc="T T T"
Nd 0.000 1.615 0.876
Nd 0.000 21.348 2.627
Nd 2.809 9.867 2.627
Nd 2.809 13.097 0.876
Th 0.000 5.263 0.876
Th 0.000 17.701 2.627
Th 2.809 6.219 2.627
Th 2.809 16.744 0.876
Pb 0.000 8.239 2.627
Pb 0.000 14.724 0.876
Pb 2.809 3.242 0.876
Pb 2.809 19.721 2.627
```

Properties
Symmetry: Cmcm, No. 63
Excess energy over the best structure of this formula in the dataset (meV per atom): 555.7
Energy relative to the elements (meV per atom): 175
Calculated volume (Å³/atom): 37.7

***

No. 2
Below is a geometry-optimized PmGdGaIr structure, with properties calculated at the PBE level.

```
16
Lattice="7.138 0.000 0.000 0.000 7.138 0.000 0.000 0.000 7.138" Properties=species:S:1:pos:R:3 pbc="T T T"
Pm 0.000 0.000 0.000
Pm 0.000 3.569 3.569
Pm 3.569 0.000 3.569
Pm 3.569 3.569 0.000
Gd 0.000 0.000 3.569
Gd 0.000 3.569 0.000
Gd 3.569 0.000 0.000
Gd 3.569 3.569 3.569
Ga 1.785 1.785 1.785
Ga 1.785 5.354 5.354
Ga 5.354 1.785 5.354
Ga 5.354 5.354 1.785
Ir 1.785 1.785 5.354
Ir 1.785 5.354 1.785
Ir 5.354 1.785 1.785
Ir 5.354 5.354 5.354
```

Properties
Symmetry: F-43m, No. 216
Energy relative to the elements (meV per atom): -586
Calculated volume (Å³/atom): 22.7

***

No. 3
Below is a geometry-optimized Pm2Sm3Y7 structure, with properties calculated at the PBE level.

```
12
Lattice="5.873 0.000 0.000 0.000 3.606 0.000 -1.088 0.000 18.882" Properties=species:S:1:pos:R:3 pbc="T T T"
Pm 0.901 0.000 5.537
Pm 3.884 0.000 13.345
Sm 0.000 0.000 0.000
Sm 0.951 1.803 11.939
Sm 3.833 1.803 6.942
Y 0.938 1.803 2.694
Y 0.920 0.000 8.725
Y 0.928 0.000 15.573
Y 2.936 1.803 0.000
Y 3.857 0.000 3.308
Y 3.865 0.000 10.157
Y 3.847 1.803 16.188
```

Properties
Symmetry: P2/m, No. 10
Excess energy over the best structure of this formula in the dataset (meV per atom): 0.0
Energy relative to the elements (meV per atom): 85
Calculated volume (Å³/atom): 33.3

***

No. 4
Below is a geometry-optimized Cs2KGa3F12 structure, with properties calculated at the PBE level.

```
18
Lattice="3.771 2.177 6.271 -3.771 2.177 6.271 0.000 -4.354 6.271" Properties=species:S:1:pos:R:3 pbc="T T T"
Cs 0.000 0.000 2.214
Cs 0.000 0.000 16.598
K 0.000 0.000 9.406
Ga -1.885 -1.089 6.271
Ga -1.885 1.089 12.541
Ga 0.000 2.177 6.271
F -2.025 -1.169 8.109
F 0.000 -1.658 6.430
F -1.436 0.829 6.430
F 0.000 -2.339 10.703
F -2.025 1.169 10.703
F -1.436 -0.829 12.382
F 1.436 0.829 6.430
F 2.025 -1.169 8.109
F 0.000 2.339 8.109
F 1.436 -0.829 12.382
F 0.000 1.658 12.382
F 2.025 1.169 10.703
```

Properties
Symmetry: R-3m, No. 166
Calculated volume (Å³/atom): 17.2
Formation energy from raw total energies (eV per atom): -2.778

***

No. 5
Below is a geometry-optimized UTaOs2 structure, with properties calculated at the PBE level.

```
4
Lattice="4.439 0.000 0.000 0.000 4.439 0.000 0.000 0.000 3.568" Properties=species:S:1:pos:R:3 pbc="T T T"
U 0.000 0.000 0.000
Ta 2.219 2.219 0.000
Os 0.000 2.219 1.784
Os 2.219 0.000 1.784
```

Properties
Symmetry: P4/mmm, No. 123
Excess energy over the best structure of this formula in the dataset (meV per atom): 171.8
Energy relative to the elements (meV per atom): -72
Calculated volume (Å³/atom): 17.6

***

No. 6
Below is a geometry-optimized CsTe2Ru structure, with properties calculated at the PBE level.

```
12
Lattice="6.463 0.000 0.000 -3.232 5.597 0.000 0.000 0.000 12.389" Properties=species:S:1:pos:R:3 pbc="T T T"
Cs 0.000 0.000 0.000
Cs 0.000 3.732 8.259
Cs 3.232 1.866 4.130
Te 0.000 0.000 3.695
Te 0.000 0.000 8.694
Te 0.000 3.732 4.565
Te 0.000 3.732 11.954
Te 3.232 1.866 0.435
Te 3.232 1.866 7.824
Ru 0.000 0.000 6.194
Ru 0.000 3.732 2.065
Ru 3.232 1.866 10.324
```

Properties
Symmetry: R-3m, No. 166
Excess energy over the best structure of this formula in the dataset (meV per atom): 750.9
Calculated volume (Å³/atom): 37.3
Formation energy from raw total energies (eV per atom): 0.447

***

No. 7
Below is a geometry-optimized Cs2TmSb2O6 structure, with properties calculated at the PBE level.

```
11
Lattice="5.334 -3.162 0.000 5.334 3.162 0.000 -3.203 0.000 6.967" Properties=species:S:1:pos:R:3 pbc="T T T"
Cs 1.725 0.000 1.211
Cs 5.739 0.000 5.756
Tm -1.602 0.000 3.483
Sb 2.064 0.000 5.326
Sb 5.399 0.000 1.641
O 0.555 0.000 4.104
O 4.277 1.549 1.993
O 3.186 1.549 4.974
O 4.277 -1.549 1.993
O 3.186 -1.549 4.974
O 6.909 0.000 2.863
```

Properties
Symmetry: C2/m, No. 12
Calculated volume (Å³/atom): 21.4
Formation energy from raw total energies (eV per atom): -1.853

***

No. 8
Below is a geometry-optimized MgTaH structure, with properties calculated at the PBE level.

```
12
Lattice="5.552 0.000 0.000 0.000 4.503 0.000 0.000 0.000 6.593" Properties=species:S:1:pos:R:3 pbc="T T T"
Mg 0.427 1.126 0.653
Mg 2.348 3.378 3.950
Mg 3.203 1.126 2.644
Mg 5.124 3.378 5.940
Ta 0.364 1.126 4.090
Ta 2.412 3.378 0.794
Ta 3.140 1.126 5.800
Ta 5.188 3.378 2.503
H 0.384 3.378 4.199
H 2.392 1.126 0.902
H 3.160 3.378 5.691
H 5.167 1.126 2.395
```

Properties
Symmetry: Pnma, No. 62
Excess energy over the best structure of this formula in the dataset (meV per atom): 303.8
Calculated volume (Å³/atom): 13.7

***

No. 9
Below is a geometry-optimized MgURh structure, with properties calculated at the PBE level.

```
6
Lattice="3.192 0.000 0.000 0.000 3.192 0.000 0.000 0.000 11.924" Properties=species:S:1:pos:R:3 pbc="T T T"
Mg 0.000 0.000 0.000
Mg 1.596 1.596 5.962
U 0.000 0.000 3.369
U 1.596 1.596 9.331
Rh 0.000 0.000 7.651
Rh 1.596 1.596 1.689
```

Properties
Symmetry: I4mm, No. 107
Energy relative to the elements (meV per atom): -195
Calculated volume (Å³/atom): 20.3

***

No. 10
Below is a geometry-optimized BaAc2SiN4 structure, with properties calculated at the PBE level.

```
16
Lattice="1.839 -6.570 0.000 1.839 6.570 0.000 0.000 0.000 12.631" Properties=species:S:1:pos:R:3 pbc="T T T"
Ba 1.839 5.311 9.473
Ba 1.839 -5.311 3.158
Ac 1.839 1.726 6.868
Ac 1.839 1.726 12.078
Ac 1.839 -1.726 0.553
Ac 1.839 -1.726 5.762
Si 1.839 3.994 3.158
Si 1.839 -3.994 9.473
N 0.000 0.000 0.000
N 0.000 0.000 6.315
N 1.839 3.104 1.683
N 1.839 3.104 4.632
N 1.839 1.586 9.473
N 1.839 -1.586 3.158
N 1.839 -3.104 7.999
N 1.839 -3.104 10.948
```

Properties
Symmetry: Cmcm, No. 63
Calculated volume (Å³/atom): 19.1
Formation energy from raw total energies (eV per atom): -0.936

***

No. 11
Below is a geometry-optimized Li3Ce3AlSe8 structure, with properties calculated at the PBE level.

```
15
Lattice="6.678 -4.149 0.000 6.678 4.149 0.000 -0.142 0.000 6.754" Properties=species:S:1:pos:R:3 pbc="T T T"
Li 0.000 0.000 0.000
Li 3.268 2.075 3.377
Li 3.268 -2.075 3.377
Ce 3.339 2.075 0.000
Ce 3.339 -2.075 0.000
Ce 6.607 0.000 3.377
Al -0.071 0.000 3.377
Se 5.583 2.314 1.887
Se 2.174 0.000 1.743
Se 7.632 2.314 4.867
Se 4.270 0.000 5.064
Se 8.945 0.000 1.690
Se 5.583 -2.314 1.887
Se 11.040 0.000 5.011
Se 7.632 -2.314 4.867
```

Properties
Symmetry: C2/m, No. 12
Calculated volume (Å³/atom): 25.0
Formation energy from raw total energies (eV per atom): -1.394

***

No. 12
Below is a geometry-optimized Eu2AuI structure, with properties calculated at the PBE level.

```
4
Lattice="3.851 0.000 0.000 0.000 3.851 0.000 0.000 0.000 8.321" Properties=species:S:1:pos:R:3 pbc="T T T"
Eu 0.000 0.000 1.778
Eu 0.000 0.000 6.543
Au 1.926 1.926 0.000
I 1.926 1.926 4.160
```

Properties
Symmetry: P4/mmm, No. 123
Excess energy over the best structure of this formula in the dataset (meV per atom): 77.0
Calculated volume (Å³/atom): 30.9
Formation energy from raw total energies (eV per atom): -0.923